Record 1
Entry from Alexandria via LeMat-Bulk: a relaxed Pu2Al12Os crystal (PBE).

Properties
total magnetization = 21.2 μB/cell
crystal system = tetragonal
symmetry = P4/nbm, No. 125
VASP energy = -5.83 eV/atom
E_form = -0.18 eV/atom

Geometry as extended XYZ:
```
30
Lattice="-1.880 4.756 -3.026 -3.672 -3.454 -3.147 -11.766 2.405 11.087" Properties=species:S:1:pos:R:3 pbc="T T T"
Pu -3.797 2.962 1.179
Pu -4.693 -1.143 1.119
Pu -10.745 0.094 6.822
Pu -9.849 4.199 6.882
Al -12.328 2.604 5.914
Al -9.552 1.952 9.001
Al -14.925 3.177 5.511
Al -13.986 0.799 7.024
Al -3.990 0.816 3.760
Al -4.227 -1.196 -2.170
Al -9.474 4.178 2.772
Al -6.766 1.467 0.673
Al -12.150 2.525 8.598
Al -5.168 1.181 -3.684
Al -7.951 2.349 4.785
Al -6.947 3.635 2.202
Al -7.776 1.589 7.328
Al -6.590 0.708 3.215
Al -2.392 0.532 -0.597
Al -9.081 2.663 0.148
Al -11.011 1.695 1.679
Al -2.214 0.453 2.086
Al -9.488 -0.134 3.693
Al -10.551 2.241 4.241
Al -13.089 4.903 7.085
Al -4.990 1.104 -1.001
Al -8.725 -0.263 1.161
Al -3.332 2.909 -2.111
Os -0.940 2.378 -1.513
Os -1.836 -1.727 -1.574
```

Record 2
Entry from Alexandria via LeMat-Bulk: a relaxed PuAl2Os crystal (PBE).

Properties
total magnetization = 5.7 μB/cell
relative energy among the computed polymorphs = 39 meV per atom
crystal system = tetragonal
symmetry = P4/mmm, No. 123
VASP energy = -8.60 eV/atom
E_form = -0.34 eV/atom

Geometry as extended XYZ:
```
4
Lattice="3.067 0.000 0.000 0.000 3.067 0.000 0.000 0.000 7.474" Properties=species:S:1:pos:R:3 pbc="T T T"
Os 1.534 1.534 0.000
Al 0.000 0.000 6.074
Al 0.000 0.000 1.401
Pu 1.534 1.534 3.737
```

Record 3
Entry from Alexandria via LeMat-Bulk: a relaxed PuAl4Os crystal (PBE).

Properties
total magnetization = 10.1 μB/cell
crystal system = orthorhombic
symmetry = Pmma, No. 51
VASP energy = -7.16 eV/atom
E_form = -0.41 eV/atom

Geometry as extended XYZ:
```
12
Lattice="-1.153 -3.704 -1.464 5.812 -0.382 -3.614 3.479 -3.439 5.958" Properties=species:S:1:pos:R:3 pbc="T T T"
Pu 6.251 -2.818 2.204
Pu 3.040 -1.002 0.140
Al 1.739 -1.719 2.979
Al 0.000 0.000 0.000
Al 7.596 -4.796 0.277
Al 0.542 -2.728 0.603
Al 3.643 -2.337 -2.830
Al 4.495 -5.187 3.710
Al 4.932 -3.611 -0.623
Al 3.206 -3.913 1.503
Os 3.832 -2.659 3.708
Os 5.459 -1.161 -1.364
```

Record 4
Entry from Alexandria via LeMat-Bulk: a relaxed PuAlOs crystal (PBE).

Properties
total magnetization = 4.8 μB/cell
crystal system = hexagonal
symmetry = P-6m2, No. 187
VASP energy = -9.86 eV/atom
E_form = -0.09 eV/atom

Geometry as extended XYZ:
```
3
Lattice="3.375 0.000 0.000 0.000 4.423 0.000 0.000 -2.211 3.830" Properties=species:S:1:pos:R:3 pbc="T T T"
Os 0.564 0.000 2.554
Al 0.562 0.000 0.000
Pu 2.249 2.211 1.277
```